# 1
# HoNpPt4

A geometry-optimized HoNpPt4 structure (PBE-GGA, Alexandria via LeMat-Bulk).

**DOS at the Fermi energy**: 12.65 states/eV/f.u.
**Space group**: No. 216
**Magnetic moment**: 0.69 μB per atom
**Calculated volume**: 113.5 Å³/f.u.
**Energy of formation from the pure elements**: -0.843 eV/atom

Cell lengths 5.4342, 5.4342, 5.4342 Å; angles 60.00, 60.00, 60.00 degrees
Each line ends with the local moment (μB).
Atoms (fractional coordinates):
Np  0.0000  0.0000  0.0000  3.85
Ho  0.2500  0.2500  0.2500  0.23
Pt  0.6250  0.6250  0.1250  -0.06
Pt  0.6250  0.1250  0.6250  -0.06
Pt  0.6250  0.6250  0.6250  -0.06
Pt  0.1250  0.6250  0.6250  -0.06


# 2
# HoNpPt2

A geometry-optimized HoNpPt2 structure (PBE-GGA, Alexandria via LeMat-Bulk).

**Energy relative to the lowest polymorph listed for this composition**: 44.9 meV per atom
**DOS at the Fermi energy**: 10.81 states/eV/f.u.
**Space group**: No. 166
**Magnetic moment**: 0.90 μB per atom
**Calculated volume**: 94.2 Å³/f.u.
**Energy of formation from the pure elements**: -0.765 eV/atom

Cell lengths 4.0950, 4.0950, 6.9069 Å; angles 72.76, 72.76, 60.00 degrees
Each line ends with the local moment (μB).
Atoms (fractional coordinates):
Np  0.0000  0.0000  0.0000  3.55
Ho  0.5000  0.5000  0.5000  0.03
Pt  0.2532  0.2532  0.2403  -0.07
Pt  0.7468  0.7468  0.7597  -0.07


# 3
# HoNp2Si2Pt7

A geometry-optimized HoNp2Si2Pt7 structure (PBE-GGA, Alexandria via LeMat-Bulk).

**DOS at the Fermi energy**: 21.19 states/eV/f.u.
**Space group**: No. 12
**Raw formation energy**: -0.842 eV per atom
**Magnetic moment**: 0.68 μB per atom
**Calculated volume**: 223.7 Å³/f.u.

Cell lengths 4.0386, 4.0386, 13.8603 Å; angles 84.11, 84.11, 89.32 degrees
Each line ends with the local moment (μB).
Atoms (fractional coordinates):
Ho  0.0000  0.0000  0.0000  0.00
Np  0.8860  0.8860  0.3592  3.79
Np  0.1140  0.1140  0.6408  3.79
Si  0.5904  0.5904  0.7459  -0.01
Si  0.4096  0.4096  0.2541  -0.01
Pt  0.5000  0.5000  0.0000  0.02
Pt  0.3694  0.3694  0.4265  -0.07
Pt  0.6306  0.6306  0.5735  -0.07
Pt  0.9429  0.4438  0.1595  0.05
Pt  0.4438  0.9429  0.1595  0.05
Pt  0.5562  0.0571  0.8405  0.05
Pt  0.0571  0.5562  0.8405  0.05


# 4
# HoPu2Np

A geometry-optimized HoPu2Np structure (PBE-GGA, Alexandria via LeMat-Bulk).

**DOS at the Fermi energy**: 10.43 states/eV/f.u.
**Space group**: No. 166
**Magnetic moment**: 1.67 μB per atom
**Calculated volume**: 102.5 Å³/f.u.
**Energy of formation from the pure elements**: 0.574 eV/atom

Cell lengths 3.6810, 3.6810, 8.9933 Å; angles 78.19, 78.19, 60.00 degrees
Each line ends with the local moment (μB).
Atoms (fractional coordinates):
Np  0.5000  0.5000  0.5000  -0.50
Ho  0.0000  0.0000  0.0000  0.33
Pu  0.1171  0.1171  0.6488  3.33
Pu  0.8829  0.8829  0.3512  3.33


# 5
# Ho2PuNpS4

A geometry-optimized Ho2PuNpS4 structure (PBE-GGA, Alexandria via LeMat-Bulk).

**DOS at the Fermi energy**: 14.47 states/eV/f.u.
**Space group**: No. 10
**Raw formation energy**: -1.794 eV per atom
**Magnetic moment**: 1.26 μB per atom
**Calculated volume**: 168.8 Å³/f.u.

Cell lengths 3.8981, 6.7604, 6.7875 Å; angles 109.31, 90.00, 90.00 degrees
Each line ends with the local moment (μB).
Atoms (fractional coordinates):
Ho  0.5000  0.0000  0.5000  -0.02
Ho  0.0000  0.5000  0.5000  -0.02
Pu  0.5000  0.5000  0.0000  -5.35
Np  0.0000  0.0000  0.0000  -4.00
S  0.5000  0.2507  0.2536  0.05
S  0.5000  0.7493  0.7464  0.05
S  0.0000  0.2476  0.7458  0.05
S  0.0000  0.7524  0.2542  0.05


# 6
# Ho2Pu3NpS6

A geometry-optimized Ho2Pu3NpS6 structure (PBE-GGA, Alexandria via LeMat-Bulk).

**DOS at the Fermi energy**: 27.78 states/eV/f.u.
**Space group**: No. 12
**Raw formation energy**: -1.785 eV per atom
**Magnetic moment**: 0.12 μB per atom
**Calculated volume**: 255.9 Å³/f.u.

Cell lengths 3.9079, 7.8274, 8.8134 Å; angles 102.89, 102.81, 90.00 degrees
Each line ends with the local moment (μB).
Atoms (fractional coordinates):
Ho  0.8344  0.6681  0.6689  0.00
Ho  0.1656  0.3319  0.3311  0.00
Pu  0.5000  0.5000  0.0000  5.24
Pu  0.8330  0.1661  0.6659  -5.25
Pu  0.1670  0.8339  0.3341  -5.25
Np  0.5000  0.0000  0.0000  3.83
S  0.3325  0.9136  0.6650  0.05
S  0.6690  0.5803  0.3380  0.03
S  0.6675  0.0864  0.3350  0.05
S  0.0015  0.2488  0.0030  -0.08
S  0.9985  0.7512  0.9970  -0.08
S  0.3310  0.4197  0.6620  0.03


# 7
# HoPu2NpSb4

A geometry-optimized HoPu2NpSb4 structure (PBE-GGA, Alexandria via LeMat-Bulk).

**DOS at the Fermi energy**: 40.66 states/eV/f.u.
**Space group**: No. 10
**Raw formation energy**: -0.601 eV per atom
**Magnetic moment**: 0.48 μB per atom
**Calculated volume**: 241.2 Å³/f.u.

Cell lengths 4.4004, 7.6237, 7.6213 Å; angles 109.37, 90.00, 90.00 degrees
Each line ends with the local moment (μB).
Atoms (fractional coordinates):
Ho  0.5000  0.5000  0.0000  0.03
Pu  0.5000  0.0000  0.5000  -5.25
Pu  0.0000  0.5000  0.5000  5.20
Np  0.0000  0.0000  0.0000  3.79
Sb  0.5000  0.2503  0.2472  -0.06
Sb  0.5000  0.7497  0.7528  -0.06
Sb  0.0000  0.2508  0.7533  0.00
Sb  0.0000  0.7492  0.2467  0.00


# 8
# HoPuNp2Sb4

A geometry-optimized HoPuNp2Sb4 structure (PBE-GGA, Alexandria via LeMat-Bulk).

**DOS at the Fermi energy**: 32.72 states/eV/f.u.
**Space group**: No. 10
**Raw formation energy**: -0.521 eV per atom
**Magnetic moment**: 1.62 μB per atom
**Calculated volume**: 240.2 Å³/f.u.

Cell lengths 4.3839, 7.5852, 7.6535 Å; angles 109.30, 90.00, 90.00 degrees
Each line ends with the local moment (μB).
Atoms (fractional coordinates):
Ho  0.5000  0.5000  0.0000  -0.06
Pu  0.0000  0.0000  0.0000  5.18
Np  0.5000  0.0000  0.5000  3.85
Np  0.0000  0.5000  0.5000  3.77
Sb  0.5000  0.2518  0.2506  -0.11
Sb  0.5000  0.7482  0.7494  -0.11
Sb  0.0000  0.2514  0.7501  -0.09
Sb  0.0000  0.7486  0.2499  -0.09


Question: Which formula does entry 5 have?
Answer: Ho2PuNpS4


What did the eighth record say?
# HoPuNp2Sb4

A geometry-optimized HoPuNp2Sb4 structure (PBE-GGA, Alexandria via LeMat-Bulk).

**DOS at the Fermi energy**: 32.72 states/eV/f.u.
**Space group**: No. 10
**Raw formation energy**: -0.521 eV per atom
**Magnetic moment**: 1.62 μB per atom
**Calculated volume**: 240.2 Å³/f.u.

Cell lengths 4.3839, 7.5852, 7.6535 Å; angles 109.30, 90.00, 90.00 degrees
Each line ends with the local moment (μB).
Atoms (fractional coordinates):
Ho  0.5000  0.5000  0.0000  -0.06
Pu  0.0000  0.0000  0.0000  5.18
Np  0.5000  0.0000  0.5000  3.85
Np  0.0000  0.5000  0.5000  3.77
Sb  0.5000  0.2518  0.2506  -0.11
Sb  0.5000  0.7482  0.7494  -0.11
Sb  0.0000  0.2514  0.7501  -0.09
Sb  0.0000  0.7486  0.2499  -0.09


Copy entry 5 word for word.
# Ho2PuNpS4

A geometry-optimized Ho2PuNpS4 structure (PBE-GGA, Alexandria via LeMat-Bulk).

**DOS at the Fermi energy**: 14.47 states/eV/f.u.
**Space group**: No. 10
**Raw formation energy**: -1.794 eV per atom
**Magnetic moment**: 1.26 μB per atom
**Calculated volume**: 168.8 Å³/f.u.

Cell lengths 3.8981, 6.7604, 6.7875 Å; angles 109.31, 90.00, 90.00 degrees
Each line ends with the local moment (μB).
Atoms (fractional coordinates):
Ho  0.5000  0.0000  0.5000  -0.02
Ho  0.0000  0.5000  0.5000  -0.02
Pu  0.5000  0.5000  0.0000  -5.35
Np  0.0000  0.0000  0.0000  -4.00
S  0.5000  0.2507  0.2536  0.05
S  0.5000  0.7493  0.7464  0.05
S  0.0000  0.2476  0.7458  0.05
S  0.0000  0.7524  0.2542  0.05


Question: What is the magnetic moment in the third record?
Answer: 0.68 μB per atom